# NaTmLu2

A relaxed NaTmLu2 crystal (PBE, the Alexandria database).

Geometry as POSCAR:
```
NaTmLu2
1.0
3.4236 0.0000 0.0000
1.7118 2.9649 0.0000
1.7118 0.9883 12.4913
Na Lu Tm
1 2 1
Direct
0.0000 0.0000 0.0000
0.0925 0.0925 0.7226
0.9075 0.9075 0.2774
0.5000 0.5000 0.5000
```

The space group is R-3m, No. 166. As for the formation energy: 0.185 eV/atom.

# Sm5Tl3Sn

A relaxed Sm5Tl3Sn crystal (PBE, the Alexandria database).

Geometry as POSCAR:
```
Sm5Tl3Sn
1.0
6.6570 0.0000 0.0000
0.0000 9.6435 0.0000
0.0000 -4.8217 8.3513
Sm Tl Sn
10 6 2
Direct
0.0000 0.6667 0.3334
0.5000 0.3333 0.6666
0.0000 0.3333 0.6666
0.5000 0.6667 0.3334
0.7500 0.7242 0.7242
0.7500 0.0000 0.2758
0.7500 0.2758 0.0000
0.2500 0.2758 0.2758
0.2500 0.0000 0.7242
0.2500 0.7242 0.0000
0.7500 0.3832 0.3832
0.7500 0.0000 0.6168
0.7500 0.6168 0.0000
0.2500 0.6168 0.6168
0.2500 0.0000 0.3832
0.2500 0.3832 0.0000
0.0000 0.0000 0.0000
0.5000 0.0000 0.0000
```

The space group is P6_3/mcm, No. 193. As for the formation energy: -0.418 eV/atom.

# DyYRuPt

A relaxed DyYRuPt crystal (PBE, the Alexandria database).

Geometry as POSCAR:
```
DyYRuPt
1.0
3.4752 0.0000 0.0000
0.0000 3.4752 0.0000
0.0000 0.0000 6.7914
Dy Y Ru Pt
1 1 1 1
Direct
0.5000 0.5000 0.6018
0.5000 0.5000 0.1121
0.0000 0.0000 0.3596
0.0000 0.0000 0.8545
```

The space group is P4mm, No. 99. As for the formation energy: -0.818 eV/atom.

# AcAlS3

A relaxed AcAlS3 crystal (PBE, the Alexandria database).

Geometry as POSCAR:
```
AcAlS3
1.0
-1.3123 -6.5466 -3.5991
3.0846 0.5486 -6.9078
3.8996 -1.7164 1.5015
Ac Al S
2 2 6
Direct
0.2257 0.2257 0.7580
0.7743 0.7743 0.2420
0.3237 0.6763 0.5000
0.6763 0.3237 0.5000
0.3996 0.3996 0.2588
0.6004 0.6004 0.7412
0.9344 0.3328 0.2624
0.3328 0.9344 0.2624
0.6672 0.0656 0.7376
0.0656 0.6672 0.7376
```

The formation energy without anion corrections comes out at -1.64 eV per atom. The space group is C2/m, No. 12.

# Li3GaAg4

A relaxed Li3GaAg4 crystal (PBE, the Alexandria database).

Geometry as POSCAR:
```
Li3GaAg4
1.0
-4.8139 3.4496 1.0675
0.4808 -3.9909 -4.4781
1.8394 -4.9155 2.9440
Li Ga Ag
3 1 4
Direct
0.5860 0.2527 0.8387
0.8342 0.0000 0.8342
0.5860 0.7473 0.3333
0.3234 0.5000 0.8234
0.0908 0.7485 0.8393
0.0908 0.2515 0.3423
0.5684 0.2486 0.3198
0.0713 0.7514 0.3198
```

The space group is Imm2, No. 44. As for the formation energy: -0.128 eV/atom.

# Dy2NpMnN5

A relaxed Dy2NpMnN5 crystal (PBE, the Alexandria database).

Geometry as POSCAR:
```
Dy2NpMnN5
1.0
-1.0642 -2.5660 -1.9660
6.5535 0.9189 -1.8012
2.8745 -6.6182 7.0820
Dy Np Mn N
4 2 2 10
Direct
0.8673 0.7345 0.8148
0.1026 0.2053 0.6839
0.1327 0.2655 0.3148
0.8974 0.7947 0.1839
0.7946 0.5892 0.5154
0.2054 0.4108 0.0154
0.5223 0.0445 0.9561
0.4777 0.9555 0.4561
0.3699 0.7398 0.0000
0.6795 0.3589 0.8859
0.4914 0.9828 0.7805
0.2843 0.5687 0.6558
0.9619 0.9238 0.5317
0.6301 0.2602 0.5000
0.3205 0.6411 0.3859
0.5086 0.0172 0.2805
0.7157 0.4313 0.1558
0.0381 0.0762 0.0317
```

The formation energy without anion corrections comes out at -1.07 eV per atom. The space group is Cmc2_1, No. 36.

# AcZnGaPt3

A relaxed AcZnGaPt3 crystal (PBE, the Alexandria database).

Geometry as POSCAR:
```
AcZnGaPt3
1.0
-5.5824 -1.7298 0.1039
0.3781 -0.8054 6.9084
-2.0008 6.2968 -2.6679
Ac Zn Ga Pt
2 2 2 6
Direct
0.7500 0.2833 0.5666
0.2500 0.7167 0.4334
0.2500 0.9804 0.9608
0.7500 0.0196 0.0392
0.2500 0.3826 0.7653
0.7500 0.6174 0.2347
0.2500 0.1871 0.3742
0.0000 0.2911 0.0000
0.5000 0.7089 0.0000
0.5000 0.2911 0.0000
0.0000 0.7089 0.0000
0.7500 0.8129 0.6258
```

The space group is Cmcm, No. 63. As for the formation energy: -0.699 eV/atom.

# YSc2C

A relaxed YSc2C crystal (PBE, the Alexandria database).

Geometry as POSCAR:
```
YSc2C
1.0
2.3693 8.9545 0.9924
5.2760 7.6775 -0.0347
2.9508 8.5401 -2.2672
Y Sc C
1 2 1
Direct
0.0000 0.0000 0.0000
0.8778 0.8778 0.8778
0.1222 0.1222 0.1222
0.5000 0.5000 0.5000
```

The space group is R-3m, No. 166. As for the formation energy: -0.202 eV/atom.

The calculated total energy results, record by record, are as follows: -3.5233 -4.2733 -7.4139 -5.6855 -2.6497 -9.1764 -5.1205 -7.2899 eV per atom.